Entry 1:
# BaBe3Zn | Alexandria | meta-GGA SCAN | single point on PBEsol structure
# V = 17.62 A^3/atom
# formation energy from the elements = 0.53 eV/atom
# density of states at the Fermi level = 0.18 states/eV/atom
# magnetic moment = 0.0 μB per cell
data_BaBe3Zn
_space_group_name_H-M_alt 'P m -3 m'
_space_group_IT_number 221
_space_group_name_Hall '-P 4 2 3'
_cell_length_a 4.4494
_cell_length_b 4.4494
_cell_length_c 4.4494
_cell_angle_alpha 90.00
_cell_angle_beta 90.00
_cell_angle_gamma 90.00
loop_
_atom_site_label
_atom_site_type_symbol
_atom_site_fract_x
_atom_site_fract_y
_atom_site_fract_z
Ba1 Ba 0.0000 0.0000 0.0000
Be1 Be 0.0000 0.5000 0.5000
Zn1 Zn 0.5000 0.5000 0.5000

Entry 2:
# La3MnBe | Alexandria | meta-GGA SCAN | single point on PBEsol structure
# V = 26.53 A^3/atom
# formation energy from the elements = 0.40 eV/atom
# density of states at the Fermi level = 1.04 states/eV/atom
# magnetic moment = 0.1 μB per cell
data_La3MnBe
_space_group_name_H-M_alt 'P m -3 m'
_space_group_IT_number 221
_space_group_name_Hall '-P 4 2 3'
_cell_length_a 5.0997
_cell_length_b 5.0997
_cell_length_c 5.0997
_cell_angle_alpha 90.00
_cell_angle_beta 90.00
_cell_angle_gamma 90.00
loop_
_atom_site_label
_atom_site_type_symbol
_atom_site_fract_x
_atom_site_fract_y
_atom_site_fract_z
La1 La 0.0000 0.0000 0.5000
Mn1 Mn 0.0000 0.0000 0.0000
Be1 Be 0.5000 0.5000 0.5000

Entry 3:
# CdNiSeN2 | Alexandria | meta-GGA SCAN | single point on PBEsol structure
# V = 14.25 A^3/atom
# formation energy from raw total energies = 4.29 eV/f.u.
# density of states at the Fermi level = 0.29 states/eV/atom
# magnetic moment = 3.7 μB per cell
data_CdNiSeN2
_space_group_name_H-M_alt 'P 4/m m m'
_space_group_IT_number 123
_space_group_name_Hall '-P 4 2'
_cell_length_a 3.7457
_cell_length_b 3.7457
_cell_length_c 5.0768
_cell_angle_alpha 90.00
_cell_angle_beta 90.00
_cell_angle_gamma 90.00
loop_
_atom_site_label
_atom_site_type_symbol
_atom_site_fract_x
_atom_site_fract_y
_atom_site_fract_z
Cd1 Cd 0.0000 0.0000 0.0000
Ni1 Ni 0.5000 0.5000 0.5000
Se1 Se 0.5000 0.5000 0.0000
N1 N 0.0000 0.5000 0.5000

Entry 4:
# BaLiAl2 | Alexandria | meta-GGA SCAN | single point on PBEsol structure
# energy above the lowest structure with this stoichiometry = 0.042 eV per atom
# V = 27.19 A^3/atom
# formation energy from the elements = -0.16 eV/atom
# density of states at the Fermi level = 0.58 states/eV/atom
# magnetic moment = 2.0 μB per cell
data_BaLiAl2
_space_group_name_H-M_alt 'R -3 m'
_space_group_IT_number 166
_space_group_name_Hall '-R 3 2"'
_cell_length_a 4.5369
_cell_length_b 4.5369
_cell_length_c 18.3070
_cell_angle_alpha 90.00
_cell_angle_beta 90.00
_cell_angle_gamma 120.00
loop_
_atom_site_label
_atom_site_type_symbol
_atom_site_fract_x
_atom_site_fract_y
_atom_site_fract_z
Ba1 Ba 0.0000 0.0000 0.0000
Li1 Li 0.0000 0.0000 0.5000
Al1 Al 0.0000 0.0000 0.1927

Entry 5:
# K2ZnH4I4O14 | Alexandria | meta-GGA SCAN | single point on PBEsol structure
# V = 13.42 A^3/atom
# energy = -12.06 eV/atom
# density of states at the Fermi level = 0.00 states/eV/atom
# magnetic moment = 0.0 μB per cell
data_K2ZnH4I4O14
_space_group_name_H-M_alt 'C 1 2 1'
_space_group_IT_number 5
_space_group_name_Hall 'C 2y'
_cell_length_a 13.7119
_cell_length_b 7.5045
_cell_length_c 8.0386
_cell_angle_alpha 90.00
_cell_angle_beta 125.76
_cell_angle_gamma 90.00
loop_
_atom_site_label
_atom_site_type_symbol
_atom_site_fract_x
_atom_site_fract_y
_atom_site_fract_z
K1 K 0.0000 0.0000 0.0000
K2 K 0.0000 0.4748 0.0000
Zn1 Zn 0.0000 0.5375 0.5000
H1 H 0.0507 0.8732 0.6340
H2 H 0.0517 0.2051 0.4711
I1 I 0.2243 0.7221 0.4842
I2 I 0.2426 0.7310 0.9927
O1 O 0.0000 0.2765 0.5000
O2 O 0.0000 0.8035 0.5000
O3 O 0.1274 0.5604 0.8363
O4 O 0.1322 0.1147 0.4173
O5 O 0.1413 0.9251 0.8628
O6 O 0.1431 0.5151 0.4623
O7 O 0.1618 0.7367 0.2106
O8 O 0.1832 0.2383 0.1375

Entry 6:
# Sb2PdRu | Alexandria | meta-GGA SCAN | single point on PBEsol structure
# V = 17.75 A^3/atom
# formation energy from raw total energies = 0.34 eV/f.u.
# density of states at the Fermi level = 0.79 states/eV/atom
# magnetic moment = 0.0 μB per cell
data_Sb2PdRu
_space_group_name_H-M_alt 'F m -3 m'
_space_group_IT_number 225
_space_group_name_Hall '-F 4 2 3'
_cell_length_a 6.5727
_cell_length_b 6.5727
_cell_length_c 6.5727
_cell_angle_alpha 90.00
_cell_angle_beta 90.00
_cell_angle_gamma 90.00
loop_
_atom_site_label
_atom_site_type_symbol
_atom_site_fract_x
_atom_site_fract_y
_atom_site_fract_z
Sb1 Sb 0.2500 0.2500 0.2500
Pd1 Pd 0.0000 0.0000 0.0000
Ru1 Ru 0.0000 0.0000 0.5000

Entry 7:
# FeSiIO2 | Alexandria | meta-GGA SCAN | single point on PBEsol structure
# V = 14.71 A^3/atom
# formation energy from raw total energies = -3.17 eV/f.u.
# density of states at the Fermi level = 0.48 states/eV/atom
# magnetic moment = 2.8 μB per cell
data_FeSiIO2
_space_group_name_H-M_alt 'P 4/m m m'
_space_group_IT_number 123
_space_group_name_Hall '-P 4 2'
_cell_length_a 3.4919
_cell_length_b 3.4919
_cell_length_c 6.0341
_cell_angle_alpha 90.00
_cell_angle_beta 90.00
_cell_angle_gamma 90.00
loop_
_atom_site_label
_atom_site_type_symbol
_atom_site_fract_x
_atom_site_fract_y
_atom_site_fract_z
Fe1 Fe 0.0000 0.0000 0.0000
Si1 Si 0.5000 0.5000 0.5000
I1 I 0.5000 0.5000 0.0000
O1 O 0.0000 0.5000 0.5000

Entry 8:
# ScAl2Pb | Alexandria | meta-GGA SCAN | single point on PBEsol structure
# V = 21.34 A^3/atom
# formation energy from the elements = -0.03 eV/atom
# density of states at the Fermi level = 0.73 states/eV/atom
# magnetic moment = 0.0 μB per cell
data_ScAl2Pb
_space_group_name_H-M_alt 'R 3 m'
_space_group_IT_number 160
_space_group_name_Hall 'R 3 -2"'
_cell_length_a 3.2654
_cell_length_b 3.2654
_cell_length_c 27.7362
_cell_angle_alpha 90.00
_cell_angle_beta 90.00
_cell_angle_gamma 120.00
loop_
_atom_site_label
_atom_site_type_symbol
_atom_site_fract_x
_atom_site_fract_y
_atom_site_fract_z
Sc1 Sc 0.0000 0.0000 0.0000
Al1 Al 0.0000 0.0000 0.4881
Al2 Al 0.0000 0.0000 0.7482
Pb1 Pb 0.0000 0.0000 0.2420